(1)
First-principles (PBE) data for a relaxed CePuTlSb crystal, as listed in Alexandria.

Summary:
- Total moment: 22.83 μB per cell
- Uncorrected energy: -7.035 eV/atom
- ρ: 10479 kg/m3
- E_form (uncorrected): -346.8 meV/atom

a b c (Å): 7.6642 7.6642 7.6642
angles (deg): 90.00 90.00 90.00
With the nearest neighbours (Å) after each atom.
Space group F-43m (No. 216)
Inequivalent atoms, fractional coordinates:
1 Ce 0.0000 0.0000 0.0000 (multiplicity 4)  4 Tl 3.32, 4 Sb 3.32
2 Pu 0.0000 0.0000 0.5000 (multiplicity 4)  4 Tl 3.32, 4 Sb 3.32
3 Tl 0.2500 0.2500 0.2500 (multiplicity 4)  4 Ce 3.32, 4 Pu 3.32
4 Sb 0.2500 0.2500 0.7500 (multiplicity 4)  4 Ce 3.32, 4 Pu 3.32

=====

(2)
First-principles (PBE) data for a relaxed Ac5CeCo4 crystal, as listed in Alexandria.

Summary:
- Total moment: 0.00 μB per cell
- Formation enthalpy at 0 K: -0.4 eV per formula unit
- Uncorrected energy: -5.530 eV/atom
- ρ: 8846 kg/m3

a b c (Å): 17.1756 4.2649 7.7586
angles (deg): 90.00 93.58 90.00
With the nearest neighbours (Å) after each atom.
Space group C2/m (No. 12)
Inequivalent atoms, fractional coordinates:
1 Ac 0.0000 0.0000 0.0000 (multiplicity 2)  4 Co 3.33
2 Ac 0.1606 0.5000 0.3806 (multiplicity 4)  3 Co 2.98-3.21
3 Ac 0.1736 0.5000 0.8636 (multiplicity 4)  3 Co 2.79-2.84
4 Ce 0.0000 0.0000 0.5000 (multiplicity 2)  6 Co 2.55-2.57
5 Co 0.0258 0.5000 0.6783 (multiplicity 4)  2 Ce 2.57, 1 Ac 2.84, 1 Co 2.85
6 Co 0.1380 0.0000 0.6414 (multiplicity 4)  1 Ce 2.55, 2 Ac 2.79

=====

(3)
First-principles (PBE) data for a relaxed Mg2FeOs crystal, as listed in Alexandria.

Summary:
- Total moment: 5.75 μB per cell
- Formation enthalpy at 0 K: 0.9 eV per formula unit
- E above lowest polymorph: 117.1 meV/atom
- Uncorrected energy: -5.492 eV/atom
- ρ: 7711 kg/m3

a b c (Å): 3.0973 4.5380 9.0298
angles (deg): 90.00 90.00 90.00
With the nearest neighbours (Å) after each atom.
Space group Imm2 (No. 44)
Inequivalent atoms, fractional coordinates:
1 Mg 0.0000 0.0000 0.0000 (multiplicity 2)  4 Fe 2.77, 2 Os 2.82, 4 Mg 2.94-3.03
2 Mg 0.0000 0.5000 0.2226 (multiplicity 2)  4 Os 2.77, 2 Fe 2.80, 6 Mg 2.94-3.10
3 Fe 0.0000 0.0000 0.4649 (multiplicity 2)  2 Os 2.41
4 Os 0.0000 0.5000 0.7605 (multiplicity 2)  2 Fe 2.41

=====

(4)
First-principles (PBE) data for a relaxed AcSmSn crystal, as listed in Alexandria.

Summary:
- Total moment: 0.00 μB per cell
- Formation enthalpy at 0 K: -1.1 eV per formula unit
- E above lowest polymorph: 196.0 meV/atom
- Uncorrected energy: -4.647 eV/atom
- ρ: 7611 kg/m3

a b c (Å): 5.2741 5.2741 4.4926
angles (deg): 90.00 90.00 120.00
With the nearest neighbours (Å) after each atom.
Space group P-6m2 (No. 187)
Inequivalent atoms, fractional coordinates:
1 Ac 0.0000 0.0000 0.0000 (multiplicity 1)  6 Sm 3.78, 6 Sn 3.78
2 Sm 0.6667 0.3333 0.5000 (multiplicity 1)  3 Sn 3.05
3 Sn 0.3333 0.6667 0.5000 (multiplicity 1)  3 Sm 3.05

=====

(5)
First-principles (PBE) data for a relaxed Tl5Cu crystal, as listed in Alexandria.

Summary:
- Total moment: 0.00 μB per cell
- Formation enthalpy at 0 K: 0.7 eV per formula unit
- E above lowest polymorph: 0.0 meV/atom
- Uncorrected energy: -2.536 eV/atom
- ρ: 10934 kg/m3

a b c (Å): 3.4050 3.4050 14.2183
angles (deg): 90.00 90.00 90.00
With the nearest neighbours (Å) after each atom.
Space group P4/mmm (No. 123)
Inequivalent atoms, fractional coordinates:
1 Tl 0.0000 0.0000 0.0000 (multiplicity 1)  12 Tl 3.40-3.59
2 Tl 0.0000 0.0000 0.3774 (multiplicity 2)  4 Cu 2.97
3 Tl 0.5000 0.5000 0.1871 (multiplicity 2)  12 Tl 3.40-3.62
4 Cu 0.5000 0.5000 0.5000 (multiplicity 1)  8 Tl 2.97

=====

(6)
First-principles (PBE) data for a relaxed Pr3Zn2Ge3 crystal, as listed in Alexandria.

Summary:
- Total moment: 3.38 μB per cell
- Formation enthalpy at 0 K: -5.2 eV per formula unit
- Uncorrected energy: -4.491 eV/atom
- ρ: 6961 kg/m3

a b c (Å): 4.3394 11.4337 14.8366
angles (deg): 90.00 90.00 90.00
With the nearest neighbours (Å) after each atom.
Space group Cmcm (No. 63)
Inequivalent atoms, fractional coordinates:
1 Pr 0.0000 0.0718 0.1116 (multiplicity 8)  6 Ge 3.11-3.27, 3 Zn 3.17-3.43
2 Pr 0.0000 0.3566 0.2500 (multiplicity 4)  5 Ge 3.06-3.32, 4 Zn 3.30
3 Zn 0.0000 0.2272 0.5955 (multiplicity 8)  4 Ge 2.59-2.70
4 Ge 0.0000 0.3528 0.7500 (multiplicity 4)  2 Zn 2.70
5 Ge 0.0000 0.3764 0.0441 (multiplicity 8)  3 Zn 2.59-2.68

=====

Which formula does entry 4 have?
AcSmSn

=====

Please write out number 6 again, unchanged.
First-principles (PBE) data for a relaxed Pr3Zn2Ge3 crystal, as listed in Alexandria.

Summary:
- Total moment: 3.38 μB per cell
- Formation enthalpy at 0 K: -5.2 eV per formula unit
- Uncorrected energy: -4.491 eV/atom
- ρ: 6961 kg/m3

a b c (Å): 4.3394 11.4337 14.8366
angles (deg): 90.00 90.00 90.00
With the nearest neighbours (Å) after each atom.
Space group Cmcm (No. 63)
Inequivalent atoms, fractional coordinates:
1 Pr 0.0000 0.0718 0.1116 (multiplicity 8)  6 Ge 3.11-3.27, 3 Zn 3.17-3.43
2 Pr 0.0000 0.3566 0.2500 (multiplicity 4)  5 Ge 3.06-3.32, 4 Zn 3.30
3 Zn 0.0000 0.2272 0.5955 (multiplicity 8)  4 Ge 2.59-2.70
4 Ge 0.0000 0.3528 0.7500 (multiplicity 4)  2 Zn 2.70
5 Ge 0.0000 0.3764 0.0441 (multiplicity 8)  3 Zn 2.59-2.68

=====

Please write out number 3 again, unchanged.
First-principles (PBE) data for a relaxed Mg2FeOs crystal, as listed in Alexandria.

Summary:
- Total moment: 5.75 μB per cell
- Formation enthalpy at 0 K: 0.9 eV per formula unit
- E above lowest polymorph: 117.1 meV/atom
- Uncorrected energy: -5.492 eV/atom
- ρ: 7711 kg/m3

a b c (Å): 3.0973 4.5380 9.0298
angles (deg): 90.00 90.00 90.00
With the nearest neighbours (Å) after each atom.
Space group Imm2 (No. 44)
Inequivalent atoms, fractional coordinates:
1 Mg 0.0000 0.0000 0.0000 (multiplicity 2)  4 Fe 2.77, 2 Os 2.82, 4 Mg 2.94-3.03
2 Mg 0.0000 0.5000 0.2226 (multiplicity 2)  4 Os 2.77, 2 Fe 2.80, 6 Mg 2.94-3.10
3 Fe 0.0000 0.0000 0.4649 (multiplicity 2)  2 Os 2.41
4 Os 0.0000 0.5000 0.7605 (multiplicity 2)  2 Fe 2.41